(1)
GGA-PBE TbTm5Sc4, optimized geometry; magnetization = 0.01 Bohr magnetons per cell; relative energy among the computed polymorphs = 41 meV per atom; E = -4.893 eV per atom; E_form = 0.338 eV per atom
1.0
-4.8710 4.8710 3.0471
4.8710 -4.8710 3.0471
4.8710 4.8710 -3.0471
Tb Tm Sc
1 5 4
Direct
0.0000 0.0000 0.0000 Tb
0.4569 0.4569 0.0000 Tm
0.4832 0.8725 0.9027 Tm
0.5805 0.4832 0.6107 Tm
0.8725 0.9698 0.3893 Tm
0.9698 0.5805 0.0973 Tm
0.1724 0.8709 0.5874 Sc
0.2835 0.5851 0.4126 Sc
0.5851 0.1724 0.3016 Sc
0.8709 0.2835 0.6984 Sc


(2)
GGA-PBE Nd16Ho6Tm7, optimized geometry; magnetization = 0.00 Bohr magnetons per cell; E = -4.455 eV per atom; E_form = 0.202 eV per atom
1.0
0.0000 7.9712 7.9712
7.9712 0.0000 7.9712
7.9712 7.9712 0.0000
Nd Ho Tm
16 6 7
Direct
0.0544 0.6485 0.6485 Nd
0.1249 0.1249 0.1249 Nd
0.1249 0.1249 0.6254 Nd
0.1249 0.6254 0.1249 Nd
0.3515 0.3515 0.3515 Nd
0.3515 0.3515 0.9456 Nd
0.3515 0.9456 0.3515 Nd
0.3746 0.8751 0.8751 Nd
0.6254 0.1249 0.1249 Nd
0.6485 0.0544 0.6485 Nd
0.6485 0.6485 0.0544 Nd
0.6485 0.6485 0.6485 Nd
0.8751 0.3746 0.8751 Nd
0.8751 0.8751 0.3746 Nd
0.8751 0.8751 0.8751 Nd
0.9456 0.3515 0.3515 Nd
0.2649 0.2649 0.7351 Ho
0.2649 0.7351 0.2649 Ho
0.2649 0.7351 0.7351 Ho
0.7351 0.2649 0.2649 Ho
0.7351 0.2649 0.7351 Ho
0.7351 0.7351 0.2649 Ho
0.0000 0.0000 0.0000 Tm
0.0000 0.0000 0.5000 Tm
0.0000 0.5000 0.0000 Tm
0.0000 0.5000 0.5000 Tm
0.5000 0.0000 0.0000 Tm
0.5000 0.0000 0.5000 Tm
0.5000 0.5000 0.0000 Tm


(3)
GGA-PBE Cs3In2As4, optimized geometry; magnetization = 0.00 Bohr magnetons per cell; E = -3.336 eV per atom; E_form = -0.377 eV per atom
1.0
4.5593 0.0000 0.0000
-2.2756 7.4740 0.0000
-0.0125 -2.5375 9.0218
Cs In As
3 2 4
Direct
0.0000 0.0000 0.0000 Cs
0.4138 0.8294 0.3172 Cs
0.5862 0.1706 0.6828 Cs
0.2830 0.5649 0.6622 In
0.7170 0.4351 0.3378 In
0.1320 0.2644 0.4041 As
0.2806 0.5606 0.9605 As
0.7194 0.4394 0.0395 As
0.8680 0.7356 0.5959 As